DFT (SCAN) results for TcIrRh2 at its PBEsol-relaxed geometry.

Summary:
- Magnetization: 0.0 μB per cell
- Formation energy from the elements: 0.22 eV per atom
- E above lowest polymorph: 0.360 eV per atom
- E: -172.8 eV per formula unit

```
TcIrRh2
1.0
3.239 0.000 0.000
0.000 3.239 0.000
0.000 0.000 5.353
Tc Ir Rh
1 1 2
Cartesian
0.000 0.000 0.000
1.620 1.620 1.318
0.000 0.000 2.662
1.620 1.620 3.999
```